(1)
Here is LiZr2ReI after structural relaxation from the Alexandria database. Energies are from PBEsol.

Output
* formation energy from raw total energies: 0.602 eV/atom
* symmetry: P4/mmm

Cell and atoms, written as POSCAR:
```
LiZr2ReI
1.0
-2.505 3.954 -1.635
-4.272 -2.207 1.208
0.246 2.101 4.705
I Re Zr Li
1 1 2 1
direct
0.500 0.500 0.500
0.000 0.000 0.000
0.000 0.500 0.000
0.500 0.000 0.000
0.000 0.000 0.500
```

(2)
Here is LiRh3I after structural relaxation from the Alexandria database. Energies are from PBEsol.

Output
* formation energy from raw total energies: 0.894 eV/atom
* symmetry: Pm-3m

Cell and atoms, written as POSCAR:
```
LiRh3I
1.0
4.234 0.000 0.000
0.000 4.234 0.000
0.000 0.000 4.234
I Rh Li
1 3 1
direct
0.500 0.500 0.500
0.000 0.500 0.000
0.000 0.000 0.500
0.500 0.000 0.000
0.000 0.000 0.000
```

(3)
Here is Li3RuI after structural relaxation from the Alexandria database. Energies are from PBEsol.

Output
* formation energy from raw total energies: 0.578 eV/atom
* symmetry: Pm-3m

Cell and atoms, written as POSCAR:
```
Li3RuI
1.0
-0.223 4.808 0.936
-2.914 -0.884 3.843
3.937 -0.381 2.898
I Ru Li
1 1 3
direct
0.500 0.500 0.500
0.000 0.000 0.000
0.000 0.500 0.000
0.000 0.000 0.500
0.500 0.000 0.000
```

(4)
Here is LiSb2RuI after structural relaxation from the Alexandria database. Energies are from PBEsol.

Output
* formation energy from raw total energies: 1.000 eV/atom
* symmetry: P4/mmm

Cell and atoms, written as POSCAR:
```
LiSb2RuI
1.0
4.683 0.000 0.000
0.000 4.683 0.000
0.000 0.000 5.060
I Sb Li Ru
1 2 1 1
direct
0.000 0.000 0.500
0.000 0.500 0.000
0.500 0.000 0.000
0.000 0.000 0.000
0.500 0.500 0.500
```

(5)
Here is Li3SI after structural relaxation from the Alexandria database. Energies are from PBEsol.

Output
* formation energy from raw total energies: -1.234 eV/atom
* symmetry: Pm-3m

Cell and atoms, written as POSCAR:
```
Li3SI
1.0
-1.646 3.302 2.876
-3.807 0.439 -2.683
-2.164 -3.284 2.532
I S Li
1 1 3
direct
0.500 0.500 0.500
0.000 0.000 0.000
0.000 0.500 0.000
0.000 0.000 0.500
0.500 0.000 0.000
```

(6)
Here is LiS2I after structural relaxation from the Alexandria database. Energies are from PBEsol.

Output
* formation energy from raw total energies: 0.061 eV/atom
* symmetry: I-42d

Cell and atoms, written as POSCAR:
```
LiS2I
1.0
5.220 0.000 0.000
0.000 5.220 0.000
-2.610 -2.610 7.378
I S Li
2 4 2
direct
0.250 0.750 0.500
0.000 0.000 0.000
0.862 0.375 0.250
0.388 0.875 0.250
0.625 0.612 0.750
0.125 0.138 0.750
0.750 0.250 0.500
0.500 0.500 0.000
```